[1]
Entry from Alexandria via LeMat-Bulk: crystalline Na2MnCl at its relaxed geometry (PBE).

Calculated values
Space-group type ... Fm-3m
Crystal system ... cubic
E above lowest polymorph ... 13.4 kJ/mol of atoms

Geometry as extended XYZ:
```
4
Lattice="2.5789 1.6457 4.3530 -1.9587 -1.0919 4.8248 2.4560 -3.5312 3.1315" Properties=species:S:1:pos:R:3 pbc="T T T"
Na 0.7691 -0.7443 3.0773
Na 2.3072 -2.2330 9.2319
Mn 1.5381 -1.4887 6.1546
Cl 0.0000 0.0000 0.0000
```

[2]
Entry from Alexandria via LeMat-Bulk: crystalline NaMn2Cl at its relaxed geometry (PBE).

Calculated values
Space-group type ... Fm-3m
Crystal system ... cubic
E above lowest polymorph ... 18.4 kJ/mol of atoms

Geometry as extended XYZ:
```
4
Lattice="3.1243 -3.6155 -0.1397 1.7444 -1.8101 4.0661 -1.3263 -4.3621 1.4373" Properties=species:S:1:pos:R:3 pbc="T T T"
Mn 2.6568 -7.3408 4.0228
Mn 0.8856 -2.4469 1.3409
Na 0.0000 0.0000 0.0000
Cl 1.7712 -4.8938 2.6819
```

[3]
Entry from Alexandria via LeMat-Bulk: crystalline NaMnCl2 at its relaxed geometry (PBE).

Calculated values
Space-group type ... Fm-3m
Crystal system ... cubic
E above lowest polymorph ... 30.2 kJ/mol of atoms

Geometry as extended XYZ:
```
4
Lattice="0.0000 3.3917 3.3917 3.3917 0.0000 3.3917 3.3917 3.3917 0.0000" Properties=species:S:1:pos:R:3 pbc="T T T"
Cl 5.0875 5.0875 5.0875
Cl 1.6958 1.6958 1.6958
Mn 3.3917 3.3917 3.3917
Na 0.0000 0.0000 0.0000
```

[4]
Entry from Alexandria via LeMat-Bulk: crystalline Na5Mn3Cl12 at its relaxed geometry (PBE).

Calculated values
Space-group type ... Ia-3d
Crystal system ... cubic

Geometry as extended XYZ:
```
80
Lattice="-5.6930 9.2067 9.4091 -7.8549 -11.9964 -0.3017 13.4219 -3.1716 3.9368" Properties=species:S:1:pos:R:3 pbc="T T T"
Na 4.0199 -4.1792 4.6996
Na 2.2949 -6.0182 9.0991
Na 0.1758 -1.8206 10.9970
Na -4.1458 -1.7821 8.3446
Na 6.7110 -1.5858 1.9684
Na -0.3017 -4.1407 2.0472
Na -2.4208 0.0570 3.9451
Na -6.6186 -8.5916 2.5804
Na -7.0757 -5.5356 6.6010
Na -1.5696 -9.0358 2.4262
Na -0.0630 -2.9806 6.5221
Na 6.4926 2.6304 10.4638
Na -6.7739 -1.3949 4.5537
Na 6.9497 -0.4257 6.4433
Na 0.0000 0.0000 0.0000
Na 2.7835 -7.5840 1.8176
Na 3.8645 3.0176 6.6730
Na -2.8465 4.6034 4.7046
Na 1.4436 3.0746 10.6181
Na -3.9275 -5.9982 -0.1508
Cl -4.8513 -4.5675 9.1799
Cl -1.2983 -0.5251 6.6572
Cl 5.0129 -6.0308 6.8303
Cl 0.2094 -11.9354 3.4076
Cl 4.7057 -6.9020 3.6653
Cl 4.6452 -12.5824 3.8326
Cl 2.5606 -4.8545 1.5453
Cl 9.9210 -0.0711 6.4307
Cl 2.6958 -0.2364 10.6897
Cl -1.4102 -8.9942 5.4140
Cl -10.0469 -5.8902 6.6136
Cl -0.7279 1.2961 9.5810
Cl -2.6865 -1.1068 11.4990
Cl 1.0865 -8.4204 7.7863
Cl -8.3765 -6.3135 3.4012
Cl -4.5273 -10.2171 3.9728
Cl 1.1724 -5.4362 6.3871
Cl -0.3353 5.9741 9.6366
Cl 1.2843 3.0329 7.6303
Cl -2.1290 -1.2142 1.2520
Cl -7.3728 -2.0051 9.7842
Cl 0.6020 -7.2574 3.4633
Cl -5.1389 0.0695 6.2140
Cl -4.7712 6.6211 9.2116
Cl -1.2124 2.4591 5.2579
Cl 7.2468 -3.9562 3.2600
Cl -1.7614 -3.5710 8.6056
Cl -4.8317 0.9408 9.3790
Cl 4.7139 0.7773 8.0271
Cl -8.5042 -2.2978 6.4941
Cl 1.7416 -2.5633 8.5577
Cl -3.7903 -8.6799 0.4524
Cl 4.4014 4.2558 9.0714
Cl 3.6643 2.7186 12.5919
Cl -4.8399 -6.7385 5.0172
Cl 0.8240 0.4558 2.5860
Cl 8.2505 0.3522 9.6430
Cl 5.0997 -2.4700 7.6062
Cl -7.0083 3.5057 8.4441
Cl -0.9500 -6.4171 10.4583
Cl 1.6354 -2.3902 4.4386
Cl -1.8676 -3.3979 4.4866
Cl 8.3783 -3.6635 6.5501
Cl -5.2256 -3.4913 5.4380
Cl -2.8217 -5.7248 2.3545
Cl 2.0030 -4.7471 11.7923
Cl 6.8824 -9.4670 4.6001
Cl 4.7254 -1.3938 3.8644
Mn -5.5376 2.0099 7.4358
Mn -2.6077 5.7634 9.1795
Mn -2.7541 -5.5741 9.2534
Mn -0.4886 1.5658 7.2816
Mn 0.3627 -7.5270 5.7627
Mn 2.4818 -11.7247 3.8648
Mn -9.1948 -1.3379 8.4989
Mn 2.6281 -0.3872 3.7909
Mn 9.0688 -4.6234 4.5454
Mn -3.6887 -4.8381 4.3241
Mn 5.4116 -7.9712 5.6084
Mn 3.5628 -1.1231 8.7202
```

[5]
Entry from Alexandria via LeMat-Bulk: crystalline NaMn2Cl8 at its relaxed geometry (PBE).

Calculated values
Space-group type ... C2/m
Crystal system ... monoclinic
E above lowest polymorph ... 0.0 kJ/mol of atoms

Geometry as extended XYZ:
```
11
Lattice="6.5219 0.7758 0.5887 1.0355 7.8074 0.1586 1.0355 2.2550 7.4763" Properties=species:S:1:pos:R:3 pbc="T T T"
Cl 2.6750 8.1272 2.4676
Cl 6.8214 6.9501 5.2734
Cl 4.0008 8.3219 6.3143
Cl 5.9179 2.7110 5.7560
Cl 2.6750 4.5649 7.1626
Cl 5.9179 6.2733 1.0610
Cl 1.7715 3.8881 2.9502
Cl 4.5920 2.5163 1.9092
Na 0.0000 0.0000 0.0000
Mn 6.1625 8.5794 6.5097
Mn 2.4304 2.2588 1.7139
```

[6]
Entry from Alexandria via LeMat-Bulk: crystalline NaMn2Cl8 at its relaxed geometry (PBE).

Calculated values
Space-group type ... P-1
Crystal system ... triclinic
E above lowest polymorph ... 0.3 kJ/mol of atoms

Geometry as extended XYZ:
```
11
Lattice="6.8494 -0.0880 -0.2066 0.0347 6.5732 -3.7717 -0.2641 -0.0528 7.4775" Properties=species:S:1:pos:R:3 pbc="T T T"
Cl 1.5681 4.2361 3.3960
Cl 1.8325 1.1681 2.0331
Cl 5.0472 5.5972 -1.8966
Cl 5.7197 2.2564 3.8933
Cl 1.5728 0.8351 5.3957
Cl 5.0519 2.1964 0.1030
Cl 0.9003 4.1760 -0.3943
Cl 4.7874 5.2644 1.4660
Na 6.5853 -0.1408 7.2709
Mn 0.9777 2.1686 3.7722
Mn 5.6424 4.2639 -0.2731
```

[7]
Entry from Alexandria via LeMat-Bulk: crystalline Na2Mn3Cl8 at its relaxed geometry (PBE).

Calculated values
Space-group type ... C2/m
Crystal system ... monoclinic
E above lowest polymorph ... 0.3 kJ/mol of atoms

Geometry as extended XYZ:
```
13
Lattice="6.3644 0.5705 0.9031 1.0451 6.8614 3.7533 1.0420 0.4799 7.8066" Properties=species:S:1:pos:R:3 pbc="T T T"
Cl 5.1161 3.0979 8.6794
Cl 5.1178 6.5357 6.4958
Cl 1.6995 4.5225 7.1216
Cl 0.8271 0.8290 1.3058
Cl 3.3338 1.3761 5.9672
Cl 6.7520 3.3893 5.3414
Cl 7.6244 7.0828 11.1572
Cl 3.3354 4.8139 3.7836
Mn 1.0443 5.1920 4.8136
Mn 3.1822 0.2853 0.4516
Mn 1.0428 2.1492 6.7463
Na 4.7272 2.3414 3.6899
Na 3.7243 5.5704 8.7731
```

[8]
Entry from Alexandria via LeMat-Bulk: crystalline Na2Mn2Cl at its relaxed geometry (PBE).

Calculated values
Space-group type ... I4/mmm
Crystal system ... tetragonal
E above lowest polymorph ... 14.9 kJ/mol of atoms

Geometry as extended XYZ:
```
5
Lattice="6.3336 0.0000 0.0000 0.0000 6.3336 0.0000 3.1668 3.1668 3.5691" Properties=species:S:1:pos:R:3 pbc="T T T"
Na 3.1668 6.3336 1.7845
Na 6.3336 3.1668 1.7845
Mn 3.1668 3.1668 1.2389
Mn 6.3336 6.3336 2.3301
Cl 0.0000 0.0000 0.0000
```

Computed energy relative to the elements, uncorrected, in the same sequence as the records: 0.066 0.773 -0.613 -1.350 -0.962 -0.959 -1.306 0.505 eV per atom.
Computed energy, in the same sequence as the records: -3.35 -4.60 -4.16 -4.16 -4.09 -4.09 -4.76 -4.06 eV/atom.